# 1
Material: GaSeBr2F
Method: DFT, PBE
State: optimized geometry

Lattice parameters (Å, degrees): 5.866 5.866 3.910 90.00 90.00 90.00
Fractional positions:
Ga: 0.000 0.000 0.000
Se: 0.500 0.500 0.000
Br: 0.000 0.500 0.500
Br: 0.500 0.000 0.500
F: 0.500 0.500 0.500

Results
ΔE to the lowest computed polymorph ... 0.0 meV per atom
Formation energy without anion corrections ... -0.1063 eV/atom
Space group ... P4/mmm, No. 123
Magnetic moment ... 1.124 μB/cell
Electronic total energy ... -2.452 eV/atom

***

# 2
Material: Fe3Ni20B6
Method: DFT, PBE
State: optimized geometry

Lattice parameters (Å, degrees): 7.400 7.400 7.400 60.00 60.00 60.00
Fractional positions:
Fe: 0.000 0.000 0.000
Fe: 0.250 0.250 0.250
Fe: 0.750 0.750 0.750
Ni: 0.000 0.000 0.339
Ni: 0.000 0.000 0.661
Ni: 0.000 0.339 0.000
Ni: 0.000 0.339 0.661
Ni: 0.000 0.661 0.000
Ni: 0.000 0.661 0.339
Ni: 0.146 0.618 0.618
Ni: 0.339 0.000 0.000
Ni: 0.339 0.000 0.661
Ni: 0.339 0.661 0.000
Ni: 0.382 0.382 0.382
Ni: 0.382 0.382 0.854
Ni: 0.382 0.854 0.382
Ni: 0.618 0.146 0.618
Ni: 0.618 0.618 0.146
Ni: 0.618 0.618 0.618
Ni: 0.661 0.000 0.000
Ni: 0.661 0.000 0.339
Ni: 0.661 0.339 0.000
Ni: 0.854 0.382 0.382
B: 0.272 0.272 0.728
B: 0.272 0.728 0.272
B: 0.272 0.728 0.728
B: 0.728 0.272 0.272
B: 0.728 0.272 0.728
B: 0.728 0.728 0.272

Results
DFT formation energy ... -0.23 eV per atom
Space group ... Fm-3m, No. 225
Magnetic moment ... 12.031 μB/cell
Electronic total energy ... -6.474 eV/atom